Crystalline VPd3Pt at its relaxed geometry. Source: the Alexandria database, functional PBE-GGA.

a b c (Å): 4.519 4.519 4.519
angles (deg): 90.00 90.00 90.00
Positions (direct):
Pt1 0.500 0.500 0.500
V1 0.000 0.000 0.000
Pd1 0.000 0.500 0.000
Pd2 0.500 0.000 0.000
Pd3 0.000 0.000 0.500

Output
Its magnetic moment is 0.00 μB/f.u. The calculation puts the offset from the most stable computed form at 5.54 eV per formula unit. The calculated formation energy is 79.9 kJ per mole of atoms. As for the crystal system: cubic. As for the symmetry: Pm-3m, No. 221.

=====

Crystalline V7Pd12Pt at its relaxed geometry. Source: the Alexandria database, functional PBE-GGA.

a b c (Å): 7.172 7.172 7.172
angles (deg): 107.68 107.68 107.68
Positions (direct):
V1 0.869 0.776 0.584
V2 0.131 0.224 0.416
V3 0.416 0.131 0.224
V4 0.584 0.869 0.776
V5 0.500 0.500 0.500
V6 0.224 0.416 0.131
V7 0.776 0.584 0.869
Pd1 0.712 0.932 0.175
Pd2 0.483 0.813 0.370
Pd3 0.932 0.175 0.712
Pd4 0.813 0.370 0.483
Pd5 0.825 0.288 0.068
Pd6 0.630 0.517 0.187
Pd7 0.187 0.630 0.517
Pd8 0.370 0.483 0.813
Pd9 0.175 0.712 0.932
Pd10 0.288 0.068 0.825
Pd11 0.068 0.825 0.288
Pd12 0.517 0.187 0.630
Pt1 0.000 0.000 0.000

Output
Its magnetic moment is 0.00 μB/f.u. The calculated formation energy is -16.2 kJ per mole of atoms. As for the crystal system: trigonal. As for the symmetry: R-3, No. 148.

=====

Crystalline V2Pd3Pt at its relaxed geometry. Source: the Alexandria database, functional PBE-GGA.

a b c (Å): 3.890 3.890 12.383
angles (deg): 98.97 98.97 90.42
Positions (direct):
V1 0.750 0.250 0.500
V2 0.250 0.750 0.500
V3 0.750 0.250 0.000
V4 0.250 0.750 0.000
Pd1 0.174 0.174 0.348
Pd2 0.823 0.823 0.150
Pd3 0.327 0.327 0.150
Pd4 0.177 0.177 0.850
Pd5 0.673 0.673 0.850
Pd6 0.826 0.826 0.652
Pt1 0.323 0.323 0.645
Pt2 0.677 0.677 0.355

Output
Its magnetic moment is 0.00 μB/f.u. The calculation puts the offset from the most stable computed form at 0.00 eV per formula unit. The calculated formation energy is -23.4 kJ per mole of atoms. As for the crystal system: orthorhombic. As for the symmetry: Fmmm, No. 69.

=====

Crystalline VPd3Pt3 at its relaxed geometry. Source: the Alexandria database, functional PBE-GGA.

a b c (Å): 4.517 7.352 7.352
angles (deg): 120.00 90.00 90.00
Positions (direct):
Pt1 0.750 0.478 0.095
Pt2 0.750 0.617 0.522
Pt3 0.250 0.522 0.905
Pt4 0.250 0.095 0.617
Pt5 0.750 0.905 0.383
Pt6 0.250 0.383 0.478
Pd1 0.750 0.057 0.811
Pd2 0.250 0.943 0.189
Pd3 0.250 0.246 0.057
Pd4 0.250 0.811 0.754
Pd5 0.750 0.189 0.246
Pd6 0.750 0.754 0.943
V1 0.250 0.667 0.333
V2 0.750 0.333 0.667

Output
Its magnetic moment is 0.00 μB/f.u. The calculated formation energy is -26.1 kJ per mole of atoms. As for the crystal system: hexagonal. As for the symmetry: P6_3/m, No. 176.

=====

Crystalline VPd4Pt5 at its relaxed geometry. Source: the Alexandria database, functional PBE-GGA.

a b c (Å): 3.946 2.768 13.906
angles (deg): 90.00 90.00 90.00
Positions (direct):
Pt1 0.500 0.500 0.905
Pt2 0.500 0.500 0.095
Pt3 0.500 0.500 0.297
Pt4 0.500 0.500 0.500
Pt5 0.500 0.500 0.703
Pd1 0.000 0.000 0.195
Pd2 0.000 0.000 0.398
Pd3 0.000 0.000 0.602
Pd4 0.000 0.000 0.805
V1 0.000 0.000 0.000

Output
Its magnetic moment is 0.00 μB/f.u. The calculated formation energy is -19.5 kJ per mole of atoms. As for the crystal system: orthorhombic. As for the symmetry: Pmmm, No. 47.

=====

Crystalline VPd8Pt3 at its relaxed geometry. Source: the Alexandria database, functional PBE-GGA.

a b c (Å): 7.274 7.274 7.274
angles (deg): 72.77 130.40 130.40
Positions (direct):
Pd1 0.525 0.643 0.643
Pd2 0.000 0.643 0.118
Pd3 0.000 0.118 0.643
Pd4 0.000 0.882 0.357
Pd5 0.000 0.357 0.882
Pd6 0.525 0.882 0.882
Pd7 0.475 0.118 0.118
Pd8 0.475 0.357 0.357
Pt1 0.500 0.250 0.750
Pt2 0.000 0.500 0.500
Pt3 0.500 0.750 0.250
V1 0.000 0.000 0.000

Output
Its magnetic moment is 0.00 μB/f.u. The calculated formation energy is 24.9 kJ per mole of atoms. As for the crystal system: tetragonal. As for the symmetry: I4/mmm, No. 139.

=====

Crystalline VPd4Pt3 at its relaxed geometry. Source: the Alexandria database, functional PBE-GGA.

a b c (Å): 3.949 3.935 9.975
angles (deg): 126.26 101.42 90.00
Positions (direct):
Pd1 0.752 0.756 0.504
Pd2 0.248 0.244 0.496
Pd3 0.621 0.862 0.241
Pd4 0.379 0.138 0.759
Pt1 0.881 0.644 0.762
Pt2 0.119 0.356 0.238
Pt3 0.000 0.500 0.000
V1 0.500 0.000 0.000

Output
Its magnetic moment is 0.46 μB/f.u. The calculation puts the offset from the most stable computed form at 0.00 eV per formula unit. The calculated formation energy is -24.8 kJ per mole of atoms. As for the crystal system: orthorhombic. As for the symmetry: Immm, No. 71.

=====

Crystalline V4Pd2Pt at its relaxed geometry. Source: the Alexandria database, functional PBE-GGA.

a b c (Å): 4.694 4.694 7.132
angles (deg): 70.79 70.79 90.00
Positions (direct):
V1 0.500 0.000 0.000
V2 0.804 0.804 0.391
V3 0.000 0.500 0.000
V4 0.196 0.196 0.609
Pd1 0.391 0.391 0.217
Pd2 0.609 0.609 0.783
Pt1 0.000 0.000 0.000

Output
Its magnetic moment is 2.45 μB/f.u. The calculated formation energy is 71.0 kJ per mole of atoms. As for the crystal system: tetragonal. As for the symmetry: I4/mmm, No. 139.

=====

Q: Which of these has the highest calculated formation energy?
A: VPd3Pt

=====

Please write out number 6 again, unchanged.
Crystalline VPd8Pt3 at its relaxed geometry. Source: the Alexandria database, functional PBE-GGA.

a b c (Å): 7.274 7.274 7.274
angles (deg): 72.77 130.40 130.40
Positions (direct):
Pd1 0.525 0.643 0.643
Pd2 0.000 0.643 0.118
Pd3 0.000 0.118 0.643
Pd4 0.000 0.882 0.357
Pd5 0.000 0.357 0.882
Pd6 0.525 0.882 0.882
Pd7 0.475 0.118 0.118
Pd8 0.475 0.357 0.357
Pt1 0.500 0.250 0.750
Pt2 0.000 0.500 0.500
Pt3 0.500 0.750 0.250
V1 0.000 0.000 0.000

Output
Its magnetic moment is 0.00 μB/f.u. The calculated formation energy is 24.9 kJ per mole of atoms. As for the crystal system: tetragonal. As for the symmetry: I4/mmm, No. 139.

=====

Q: magnetic moment of number 5 (VPd4Pt5)?
A: 0.00 μB/f.u.

=====

What did the third record say?
Crystalline V2Pd3Pt at its relaxed geometry. Source: the Alexandria database, functional PBE-GGA.

a b c (Å): 3.890 3.890 12.383
angles (deg): 98.97 98.97 90.42
Positions (direct):
V1 0.750 0.250 0.500
V2 0.250 0.750 0.500
V3 0.750 0.250 0.000
V4 0.250 0.750 0.000
Pd1 0.174 0.174 0.348
Pd2 0.823 0.823 0.150
Pd3 0.327 0.327 0.150
Pd4 0.177 0.177 0.850
Pd5 0.673 0.673 0.850
Pd6 0.826 0.826 0.652
Pt1 0.323 0.323 0.645
Pt2 0.677 0.677 0.355

Output
Its magnetic moment is 0.00 μB/f.u. The calculation puts the offset from the most stable computed form at 0.00 eV per formula unit. The calculated formation energy is -23.4 kJ per mole of atoms. As for the crystal system: orthorhombic. As for the symmetry: Fmmm, No. 69.